Compound: NaTlAg2F6
Source: the Alexandria database
Functional: PBE-GGA
Structure: optimized geometry

Computed properties:
* uncorrected formation energy: -39.18 kcal/mol of atoms
* raw total energy: -3.761 eV/atom

```
NaTlAg2F6
1.0
5.933 0.000 0.000
0.000 6.147 0.000
-5.815 0.000 8.586
Na Tl Ag F
2 2 4 12
Direct
0.000 0.000 0.000
0.000 0.500 0.500
0.500 0.000 0.500
0.500 0.500 0.000
0.226 0.061 0.747
0.226 0.439 0.247
0.774 0.561 0.753
0.774 0.939 0.253
0.141 0.192 0.440
0.141 0.308 0.940
0.239 0.708 0.425
0.239 0.792 0.925
0.385 0.061 0.258
0.385 0.439 0.758
0.615 0.561 0.242
0.615 0.939 0.742
0.761 0.208 0.075
0.761 0.292 0.575
0.859 0.692 0.060
0.859 0.808 0.560
```

***

Compound: Tb6Sn2Te
Source: the Alexandria database
Functional: PBE-GGA
Structure: optimized geometry

Computed properties:
* uncorrected formation energy: -15.12 kcal/mol of atoms
* raw total energy: -4.981 eV/atom

```
Tb6Sn2Te
1.0
8.403 0.000 0.000
-4.202 7.278 0.000
0.000 0.000 4.252
Tb Sn Te
6 2 1
Direct
0.000 0.401 0.000
0.000 0.731 0.500
0.269 0.269 0.500
0.401 0.000 0.000
0.599 0.599 0.000
0.731 0.000 0.500
0.333 0.667 0.500
0.667 0.333 0.500
0.000 0.000 0.000
```

***

Compound: PuGe2Pb
Source: the Alexandria database
Functional: PBE-GGA
Structure: optimized geometry

Computed properties:
* E_form: 0.42 eV per atom
* raw total energy: -6.400 eV/atom

```
PuGe2Pb
1.0
2.407 1.390 7.044
-2.407 1.390 7.044
0.000 -2.780 7.044
Pu Ge Pb
1 2 1
Direct
0.000 0.000 0.000
0.370 0.370 0.370
0.630 0.630 0.630
0.500 0.500 0.500
```